CaTlBr2: optimized geometry, PBE.

Results
Magnetization   0.0 Bohr magnetons per cell
Distance to the lowest polymorph of the same formula   0.009 eV/atom
Formation energy from raw total energies   -128 kJ/mol of atoms
Calculated volume   38.64 A^3/atom

Structure (extended XYZ):
```
4
Lattice="-5.233 -9.412 -2.223 -2.453 -9.371 -5.203 -1.464 -10.793 -1.514" Properties=species:S:1:pos:R:3 pbc="T T T"
Br -8.863 -28.649 -8.660
Br -4.862 -15.715 -4.750
Ca -2.287 -7.394 -2.235
Tl -6.862 -22.182 -6.705
```


AcZr2SiO8: optimized geometry, PBE.

Results
Magnetization   0.8 Bohr magnetons per cell
Formation energy from raw total energies   -271 kJ/mol of atoms
Calculated volume   13.23 A^3/atom

Structure (extended XYZ):
```
12
Lattice="4.836 0.142 -0.003 0.196 4.836 -0.005 0.005 0.008 6.796" Properties=species:S:1:pos:R:3 pbc="T T T"
O 1.417 1.399 -0.002
O 1.684 1.658 3.395
O 1.080 3.949 5.536
O 3.620 3.586 6.790
O 3.957 1.036 1.252
O 3.960 1.041 5.537
O 1.077 3.944 1.251
O 3.352 3.327 3.393
Zr 2.517 2.491 1.577
Zr 2.520 2.494 5.211
Si 0.000 0.000 0.000
Ac 0.002 0.004 3.398
```


KBaN3: optimized geometry, PBE.

Results
Magnetization   6.0 Bohr magnetons per cell
Formation energy from raw total energies   154 kJ/mol of atoms
Calculated volume   26.80 A^3/atom

Structure (extended XYZ):
```
5
Lattice="5.117 0.000 0.000 0.000 5.117 0.000 0.000 0.000 5.117" Properties=species:S:1:pos:R:3 pbc="T T T"
Ba 0.000 0.000 0.000
N 2.559 0.000 0.000
N 0.000 0.000 2.559
N 0.000 2.559 0.000
K 2.559 2.559 2.559
```


NaZn2GaPt: optimized geometry, PBE.

Results
Formation enthalpy at 0 K   -260 meV per atom
Magnetization   0.0 Bohr magnetons per cell
Calculated volume   23.16 A^3/atom

Structure (extended XYZ):
```
5
Lattice="4.923 0.000 0.000 0.000 4.923 0.000 0.000 0.000 4.779" Properties=species:S:1:pos:R:3 pbc="T T T"
Zn 2.461 0.000 0.000
Zn 0.000 2.461 0.000
Pt 0.000 0.000 0.000
Na 2.461 2.461 2.390
Ga 0.000 0.000 2.390
```